Record 1
A plane-wave DFT calculation with PBE was carried out for crystalline RbSn4Au4 at its relaxed geometry. Values from VASP.

The structure in Quantum ESPRESSO input format:
```
&SYSTEM
  ibrav = 0, nat = 18, ntyp = 3
/
ATOMIC_SPECIES
Au 196.97 Au.upf
Sn 118.71 Sn.upf
Rb 85.47 Rb.upf
CELL_PARAMETERS angstrom
-5.411 -1.082 -1.166
-1.705 -1.429 9.236
-2.068 9.214 1.044
ATOMIC_POSITIONS angstrom
Au -6.469 -0.335 5.244
Au -5.239 1.176 7.383
Au -3.165 0.594 2.687
Au -4.816 5.353 1.543
Au -5.149 6.283 6.614
Au -1.427 2.758 1.869
Au -7.255 6.130 2.891
Au -3.216 4.853 8.223
Sn -4.172 2.580 0.874
Sn -2.007 5.497 1.759
Sn -5.984 3.928 8.030
Sn -7.792 6.126 5.641
Sn -5.831 -0.311 2.516
Sn -2.739 2.094 8.311
Sn -3.559 -0.171 5.482
Sn -4.653 7.069 3.841
Rb 0.000 0.000 0.000
Rb -4.592 3.352 4.557
```

Fermi-level density of states: 0.452 states/eV/atom
Energy of formation from the pure elements: -238 meV per atom
V: 28.28 Å³ per atom



Record 2
A plane-wave DFT calculation with PBE was carried out for crystalline Ce3MnNi2Ge6 at its relaxed geometry. Values from VASP.

The structure in Quantum ESPRESSO input format:
```
&SYSTEM
  ibrav = 0, nat = 12, ntyp = 4
/
ATOMIC_SPECIES
Ni 58.69 Ni.upf
Ge 72.64 Ge.upf
Ce 140.12 Ce.upf
Mn 54.94 Mn.upf
CELL_PARAMETERS angstrom
6.050 0.000 0.000
-3.025 5.239 0.000
0.000 0.000 7.499
ATOMIC_POSITIONS angstrom
Ni 3.025 1.746 7.137
Ni 0.000 3.493 0.362
Ge 3.025 3.269 5.236
Ge 1.319 4.254 2.263
Ge 0.000 1.970 2.263
Ge -1.319 4.254 2.263
Ge 4.344 0.985 5.236
Ge 1.706 0.985 5.236
Ce 3.025 1.746 2.477
Ce 0.000 3.493 5.022
Ce 0.000 0.000 0.000
Mn 0.000 0.000 3.750
```

Fermi-level density of states: 1.347 states/eV/atom
Energy of formation from the pure elements: -303 meV per atom
V: 19.81 Å³ per atom



Record 3
A plane-wave DFT calculation with PBE was carried out for crystalline BePtW at its relaxed geometry. Values from VASP.

The structure in Quantum ESPRESSO input format:
```
&SYSTEM
  ibrav = 0, nat = 6, ntyp = 3
/
ATOMIC_SPECIES
Be 9.01 Be.upf
Pt 195.08 Pt.upf
W 183.84 W.upf
CELL_PARAMETERS angstrom
-0.016 -4.370 0.503
0.636 0.316 2.764
-6.348 2.378 1.189
ATOMIC_POSITIONS angstrom
Be -2.299 -1.995 2.973
Be -0.245 0.120 2.259
Pt -0.676 -2.148 1.144
Pt -2.505 0.093 1.309
W -4.450 -0.456 3.292
W -4.758 1.620 1.653
```

Fermi-level density of states: 0.317 states/eV/atom
Energy of formation from the pure elements: -197 meV per atom
V: 13.64 Å³ per atom



Record 4
A plane-wave DFT calculation with PBE was carried out for crystalline Ni7Ir2Rh2 at its relaxed geometry. Values from VASP.

The structure in Quantum ESPRESSO input format:
```
&SYSTEM
  ibrav = 0, nat = 11, ntyp = 3
/
ATOMIC_SPECIES
Ni 58.69 Ni.upf
Ir 192.22 Ir.upf
Rh 102.91 Rh.upf
CELL_PARAMETERS angstrom
-2.881 -2.042 3.587
-3.744 -0.033 -4.686
1.467 -4.813 0.132
ATOMIC_POSITIONS angstrom
Ni -2.506 -1.386 0.289
Ni -4.007 -1.849 -3.561
Ni -1.151 -5.040 2.594
Ni -0.688 -2.544 -1.156
Ni -2.652 -5.503 -1.255
Ni -1.872 -0.017 -2.343
Ni -4.470 -4.344 0.189
Ir -1.988 -2.611 2.877
Ir 0.574 -4.244 0.842
Rh -3.158 -3.033 -1.543
Rh -1.999 -3.856 0.576
```

Fermi-level density of states: 1.821 states/eV/atom
Energy of formation from the pure elements: 249 meV per atom
V: 12.98 Å³ per atom



Record 5
A plane-wave DFT calculation with PBE was carried out for crystalline Tm3PuS4 at its relaxed geometry. Values from VASP.

The structure in Quantum ESPRESSO input format:
```
&SYSTEM
  ibrav = 0, nat = 8, ntyp = 3
/
ATOMIC_SPECIES
S 32.06 S.upf
Tm 168.93 Tm.upf
Pu 244.00 Pu.upf
CELL_PARAMETERS angstrom
3.852 0.000 0.000
0.000 6.353 -2.158
0.000 -0.046 6.709
ATOMIC_POSITIONS angstrom
S 0.000 4.692 3.385
S 0.000 1.615 1.166
S 1.926 4.733 0.087
S 1.926 1.575 4.464
Tm 0.000 3.176 -1.079
Tm 1.926 3.154 2.275
Tm 0.000 -0.023 3.355
Pu 1.926 0.000 0.000
```

ΔE_f (raw): -1.916 eV/atom
Fermi-level density of states: 0.861 states/eV/atom
V: 20.48 Å³ per atom



Record 6
A plane-wave DFT calculation with PBE was carried out for crystalline FeBiTeI2 at its relaxed geometry. Values from VASP.

The structure in Quantum ESPRESSO input format:
```
&SYSTEM
  ibrav = 0, nat = 5, ntyp = 4
/
ATOMIC_SPECIES
Fe 55.84 Fe.upf
I 126.90 I.upf
Bi 208.98 Bi.upf
Te 127.60 Te.upf
CELL_PARAMETERS angstrom
6.097 0.000 0.000
0.000 6.097 0.000
0.000 0.000 6.078
ATOMIC_POSITIONS angstrom
Fe 3.048 3.048 3.039
I 3.048 0.000 0.000
I 0.000 3.048 0.000
Bi 0.000 0.000 0.000
Te 0.000 0.000 3.039
```

ΔE_f (raw): 0.781 eV/atom
Fermi-level density of states: 2.046 states/eV/atom
V: 45.18 Å³ per atom



Record 7
A plane-wave DFT calculation with PBE was carried out for crystalline BaAu at its relaxed geometry. Values from VASP.

The structure in Quantum ESPRESSO input format:
```
&SYSTEM
  ibrav = 0, nat = 4, ntyp = 2
/
ATOMIC_SPECIES
Ba 137.33 Ba.upf
Au 196.97 Au.upf
CELL_PARAMETERS angstrom
-0.718 3.133 4.438
-4.136 -1.025 3.444
1.019 -2.029 4.986
ATOMIC_POSITIONS angstrom
Ba -1.438 0.029 4.827
Ba -2.396 0.049 8.041
Au -3.354 0.069 11.258
Au -0.480 0.010 1.611
```

Fermi-level density of states: 1.293 states/eV/atom
Energy of formation from the pure elements: -385 meV per atom
V: 29.04 Å³ per atom



Record 8
A plane-wave DFT calculation with PBE was carried out for crystalline PaHg2Bi at its relaxed geometry. Values from VASP.

The structure in Quantum ESPRESSO input format:
```
&SYSTEM
  ibrav = 0, nat = 4, ntyp = 3
/
ATOMIC_SPECIES
Hg 200.59 Hg.upf
Bi 208.98 Bi.upf
Pa 231.04 Pa.upf
CELL_PARAMETERS angstrom
-3.195 1.743 1.648
-2.147 -0.854 -3.259
-1.782 -5.817 2.698
ATOMIC_POSITIONS angstrom
Hg -1.338 -4.369 2.026
Hg -0.444 -1.449 0.672
Bi -2.671 0.444 -0.805
Pa -3.562 -2.464 0.544
```

Fermi-level density of states: 1.726 states/eV/atom
Energy of formation from the pure elements: 103 meV per atom
V: 26.55 Å³ per atom



Record 9
A plane-wave DFT calculation with PBE was carried out for crystalline K3Tc5N12 at its relaxed geometry. Values from VASP.

The structure in Quantum ESPRESSO input format:
```
&SYSTEM
  ibrav = 0, nat = 80, ntyp = 3
/
ATOMIC_SPECIES
N 14.01 N.upf
K 39.10 K.upf
Tc 98.00 Tc.upf
CELL_PARAMETERS angstrom
-10.673 -2.451 3.308
6.278 -9.563 -0.016
4.595 7.566 7.246
ATOMIC_POSITIONS angstrom
N -2.119 -6.263 6.469
N 1.430 -3.005 9.847
N -0.798 -4.023 5.102
N -1.300 -1.936 6.693
N -1.911 -0.971 9.399
N 3.967 -0.560 4.925
N 5.085 -8.366 1.087
N 3.859 -2.341 8.189
N -0.399 5.162 7.298
N 3.884 -1.382 2.385
N -3.683 -3.066 8.152
N 2.777 -6.426 1.102
N -3.583 0.989 6.423
N 0.599 -9.610 3.239
N 0.998 -0.425 5.435
N -1.063 -1.775 3.682
N -6.421 1.208 7.417
N -5.206 -1.448 6.669
N 3.783 -5.436 4.114
N 2.111 -3.477 1.138
N -1.482 -4.131 1.848
N 1.583 3.945 5.503
N 2.948 1.289 6.969
N -3.659 -2.107 2.348
N 3.512 -8.033 3.546
N -4.885 3.919 9.450
N 0.833 2.514 8.048
N -1.383 -8.393 5.034
N -2.577 1.979 9.435
N 1.263 -2.672 6.855
N 1.682 -0.316 8.689
N 6.621 -5.656 3.120
N 1.181 -0.633 1.508
N -3.312 3.585 6.991
N 2.319 1.815 4.068
N -1.103 2.618 5.841
N -2.023 4.864 9.398
N 4.579 -4.473 1.371
N -0.633 -6.962 2.489
N -0.981 -3.815 9.029
N 5.406 -3.000 3.868
N 2.223 -9.312 1.139
N -1.230 -1.443 0.690
N -3.767 -3.888 5.612
N -4.379 0.025 9.166
N -2.747 -5.737 3.568
N 1.500 -2.512 3.844
N 1.303 -7.066 4.696
K -0.870 0.557 7.495
K -7.405 -1.448 4.704
K 3.578 -3.362 5.757
K -4.056 -8.371 3.788
K 7.605 -2.999 5.833
K -0.160 1.029 3.542
K 5.276 0.031 7.157
K 1.070 -5.004 3.042
K 0.360 -5.477 6.995
K -5.076 -4.478 3.380
K 4.256 3.923 6.749
K -3.378 -1.085 4.780
Tc -2.197 -6.007 1.646
Tc 5.097 -4.641 3.118
Tc -3.199 3.586 8.819
Tc 2.298 3.783 3.623
Tc -2.358 -4.978 5.188
Tc 5.436 -0.998 3.615
Tc -1.969 -2.447 8.318
Tc 3.399 -8.034 1.718
Tc -5.336 -1.225 1.654
Tc 3.139 -4.781 -0.008
Tc -4.897 0.193 7.419
Tc 0.100 -2.224 5.268
Tc 2.558 0.530 5.349
Tc 0.229 3.560 6.672
Tc 2.169 -2.001 2.219
Tc 0.000 0.000 0.000
Tc 2.059 -2.084 8.395
Tc -3.039 2.557 5.277
Tc -0.029 -8.008 3.864
Tc -1.858 -2.364 2.142
```

ΔE_f (raw): 0.240 eV/atom
Fermi-level density of states: 0.422 states/eV/atom
V: 14.40 Å³ per atom



Record 10
A plane-wave DFT calculation with PBE was carried out for crystalline CeSm2HgN at its relaxed geometry. Values from VASP.

The structure in Quantum ESPRESSO input format:
```
&SYSTEM
  ibrav = 0, nat = 5, ntyp = 4
/
ATOMIC_SPECIES
Sm 150.36 Sm.upf
N 14.01 N.upf
Ce 140.12 Ce.upf
Hg 200.59 Hg.upf
CELL_PARAMETERS angstrom
-1.365 -4.211 -1.911
-0.463 -1.921 4.564
-4.748 1.476 0.139
ATOMIC_POSITIONS angstrom
Sm -0.232 -0.960 2.282
Sm -2.374 0.738 0.070
N 0.000 0.000 0.000
Ce -0.683 -2.105 -0.955
Hg -3.288 -2.328 1.396
```

ΔE_f (raw): -0.777 eV/atom
Fermi-level density of states: 1.534 states/eV/atom
V: 23.85 Å³ per atom



> The lowest Fermi-level density of states belongs to which entry?

BePtW



> Among the records above, which one has the lowest V?

Ni7Ir2Rh2



Please write out number 8 again, unchanged.
A plane-wave DFT calculation with PBE was carried out for crystalline PaHg2Bi at its relaxed geometry. Values from VASP.

The structure in Quantum ESPRESSO input format:
```
&SYSTEM
  ibrav = 0, nat = 4, ntyp = 3
/
ATOMIC_SPECIES
Hg 200.59 Hg.upf
Bi 208.98 Bi.upf
Pa 231.04 Pa.upf
CELL_PARAMETERS angstrom
-3.195 1.743 1.648
-2.147 -0.854 -3.259
-1.782 -5.817 2.698
ATOMIC_POSITIONS angstrom
Hg -1.338 -4.369 2.026
Hg -0.444 -1.449 0.672
Bi -2.671 0.444 -0.805
Pa -3.562 -2.464 0.544
```

Fermi-level density of states: 1.726 states/eV/atom
Energy of formation from the pure elements: 103 meV per atom
V: 26.55 Å³ per atom